Model one:
# PaInAsO (PBE, relaxed)
data_PaInAsO
_chemical_formula_sum 'Pa2 In2 As2 O2'
_symmetry_space_group_name_H-M 'P 1'
_symmetry_Int_Tables_number 1
_symmetry_space_group_name_Hall 'P 1'
_cell_length_a 4.274
_cell_length_b 4.274
_cell_length_c 8.652
_cell_angle_alpha 90.00
_cell_angle_beta 90.00
_cell_angle_gamma 90.00
loop_
_atom_site_label
_atom_site_type_symbol
_atom_site_fract_x
_atom_site_fract_y
_atom_site_fract_z
Pa1 Pa 0.250 0.750 0.000
Pa2 Pa 0.750 0.250 0.000
In1 In 0.250 0.250 0.398
In2 In 0.750 0.750 0.602
As1 As 0.250 0.250 0.768
As2 As 0.750 0.750 0.232
O1 O 0.250 0.750 0.500
O2 O 0.750 0.250 0.500
# Space-group type ... P4/nmm (129)

---

Model two:
# PaInAsO (PBE, relaxed)
data_PaInAsO
_chemical_formula_sum 'Pa2 In2 As2 O2'
_symmetry_space_group_name_H-M 'P 1'
_symmetry_Int_Tables_number 1
_symmetry_space_group_name_Hall 'P 1'
_cell_length_a 4.026
_cell_length_b 4.026
_cell_length_c 10.286
_cell_angle_alpha 90.00
_cell_angle_beta 90.00
_cell_angle_gamma 90.00
loop_
_atom_site_label
_atom_site_type_symbol
_atom_site_fract_x
_atom_site_fract_y
_atom_site_fract_z
Pa1 Pa 0.250 0.250 0.128
Pa2 Pa 0.750 0.750 0.872
In1 In 0.250 0.750 0.500
In2 In 0.750 0.250 0.500
As1 As 0.250 0.250 0.742
As2 As 0.750 0.750 0.258
O1 O 0.250 0.750 0.000
O2 O 0.750 0.250 0.000
# Space-group type ... P4/nmm (129)

---

Name the least stable of them. model one.

---

Model one:
# LiYAu2 (PBE, relaxed)
data_LiYAu2
_chemical_formula_sum 'Li4 Y4 Au8'
_symmetry_space_group_name_H-M 'P 1'
_symmetry_Int_Tables_number 1
_symmetry_space_group_name_Hall 'P 1'
_cell_length_a 7.181
_cell_length_b 7.226
_cell_length_c 6.149
_cell_angle_alpha 90.00
_cell_angle_beta 90.00
_cell_angle_gamma 90.00
loop_
_atom_site_label
_atom_site_type_symbol
_atom_site_fract_x
_atom_site_fract_y
_atom_site_fract_z
Li1 Li 0.109 0.250 0.170
Li2 Li 0.391 0.750 0.670
Li3 Li 0.609 0.250 0.330
Li4 Li 0.891 0.750 0.830
Y1 Y 0.024 0.750 0.333
Y2 Y 0.476 0.250 0.833
Y3 Y 0.524 0.750 0.167
Y4 Y 0.976 0.250 0.667
Au1 Au 0.196 0.549 0.942
Au2 Au 0.196 0.951 0.942
Au3 Au 0.304 0.049 0.442
Au4 Au 0.304 0.451 0.442
Au5 Au 0.696 0.549 0.558
Au6 Au 0.696 0.951 0.558
Au7 Au 0.804 0.049 0.058
Au8 Au 0.804 0.451 0.058
# Space-group type ... Pnma (62)

---

Model two:
# LiYAu2 (PBE, relaxed)
data_LiYAu2
_chemical_formula_sum 'Li2 Y2 Au4'
_symmetry_space_group_name_H-M 'P 1'
_symmetry_Int_Tables_number 1
_symmetry_space_group_name_Hall 'P 1'
_cell_length_a 4.931
_cell_length_b 4.931
_cell_length_c 8.206
_cell_angle_alpha 90.00
_cell_angle_beta 90.00
_cell_angle_gamma 120.00
loop_
_atom_site_label
_atom_site_type_symbol
_atom_site_fract_x
_atom_site_fract_y
_atom_site_fract_z
Li1 Li 0.333 0.667 0.250
Li2 Li 0.667 0.333 0.750
Y1 Y 0.000 0.000 0.000
Y2 Y 0.000 0.000 0.500
Au1 Au 0.333 0.667 0.581
Au2 Au 0.333 0.667 0.919
Au3 Au 0.667 0.333 0.081
Au4 Au 0.667 0.333 0.419
# Space-group type ... P6_3/mmc (194)

---

Name the least stable of them. model two.

---

Model one:
# LiAl2Ir (PBE, relaxed)
data_LiAl2Ir
_chemical_formula_sum 'Li4 Al8 Ir4'
_symmetry_space_group_name_H-M 'P 1'
_symmetry_Int_Tables_number 1
_symmetry_space_group_name_Hall 'P 1'
_cell_length_a 8.524
_cell_length_b 6.030
_cell_length_c 4.267
_cell_angle_alpha 90.00
_cell_angle_beta 90.00
_cell_angle_gamma 90.00
loop_
_atom_site_label
_atom_site_type_symbol
_atom_site_fract_x
_atom_site_fract_y
_atom_site_fract_z
Li1 Li 0.125 0.250 0.246
Li2 Li 0.375 0.750 0.746
Li3 Li 0.625 0.250 0.254
Li4 Li 0.875 0.750 0.754
Al1 Al 0.125 0.000 0.747
Al2 Al 0.125 0.500 0.747
Al3 Al 0.375 0.000 0.247
Al4 Al 0.375 0.500 0.247
Al5 Al 0.625 0.000 0.753
Al6 Al 0.625 0.500 0.753
Al7 Al 0.875 0.000 0.253
Al8 Al 0.875 0.500 0.253
Ir1 Ir 0.125 0.750 0.247
Ir2 Ir 0.375 0.250 0.747
Ir3 Ir 0.625 0.750 0.253
Ir4 Ir 0.875 0.250 0.753
# Space-group type ... Pnma (62)

---

Model two:
# LiAl2Ir (PBE, relaxed)
data_LiAl2Ir
_chemical_formula_sum 'Li1 Al2 Ir1'
_symmetry_space_group_name_H-M 'P 1'
_symmetry_Int_Tables_number 1
_symmetry_space_group_name_Hall 'P 1'
_cell_length_a 3.060
_cell_length_b 3.060
_cell_length_c 5.919
_cell_angle_alpha 90.00
_cell_angle_beta 90.00
_cell_angle_gamma 90.00
loop_
_atom_site_label
_atom_site_type_symbol
_atom_site_fract_x
_atom_site_fract_y
_atom_site_fract_z
Li1 Li 0.000 0.000 0.000
Al1 Al 0.500 0.500 0.251
Al2 Al 0.500 0.500 0.749
Ir1 Ir 0.000 0.000 0.500
# Space-group type ... P4/mmm (123)

---

Name the least stable of them. model two.

---

Model one:
# GdMgCuTe3 (PBE, relaxed)
data_GdMgCuTe3
_chemical_formula_sum 'Gd4 Mg4 Cu4 Te12'
_symmetry_space_group_name_H-M 'P 1'
_symmetry_Int_Tables_number 1
_symmetry_space_group_name_Hall 'P 1'
_cell_length_a 12.374
_cell_length_b 4.180
_cell_length_c 12.217
_cell_angle_alpha 90.00
_cell_angle_beta 90.00
_cell_angle_gamma 90.00
loop_
_atom_site_label
_atom_site_type_symbol
_atom_site_fract_x
_atom_site_fract_y
_atom_site_fract_z
Gd1 Gd 0.044 0.250 0.193
Gd2 Gd 0.456 0.750 0.693
Gd3 Gd 0.544 0.250 0.307
Gd4 Gd 0.956 0.750 0.807
Mg1 Mg 0.217 0.250 0.464
Mg2 Mg 0.283 0.750 0.964
Mg3 Mg 0.717 0.250 0.036
Mg4 Mg 0.783 0.750 0.536
Cu1 Cu 0.240 0.750 0.283
Cu2 Cu 0.260 0.250 0.783
Cu3 Cu 0.740 0.750 0.217
Cu4 Cu 0.760 0.250 0.717
Te1 Te 0.057 0.750 0.379
Te2 Te 0.103 0.250 0.933
Te3 Te 0.201 0.750 0.666
Te4 Te 0.299 0.250 0.166
Te5 Te 0.397 0.750 0.433
Te6 Te 0.443 0.250 0.879
Te7 Te 0.557 0.750 0.121
Te8 Te 0.603 0.250 0.567
Te9 Te 0.701 0.750 0.834
Te10 Te 0.799 0.250 0.334
Te11 Te 0.897 0.750 0.067
Te12 Te 0.943 0.250 0.621
# Space-group type ... Pnma (62)

---

Model two:
# GdMgCuTe3 (PBE, relaxed)
data_GdMgCuTe3
_chemical_formula_sum 'Gd2 Mg2 Cu2 Te6'
_symmetry_space_group_name_H-M 'P 1'
_symmetry_Int_Tables_number 1
_symmetry_space_group_name_Hall 'P 1'
_cell_length_a 7.265
_cell_length_b 7.265
_cell_length_c 11.335
_cell_angle_alpha 90.00
_cell_angle_beta 90.00
_cell_angle_gamma 147.00
loop_
_atom_site_label
_atom_site_type_symbol
_atom_site_fract_x
_atom_site_fract_y
_atom_site_fract_z
Gd1 Gd 0.000 0.000 0.000
Gd2 Gd 0.000 0.000 0.500
Mg1 Mg 0.227 0.773 0.750
Mg2 Mg 0.773 0.227 0.250
Cu1 Cu 0.477 0.523 0.250
Cu2 Cu 0.523 0.477 0.750
Te1 Te 0.100 0.900 0.250
Te2 Te 0.349 0.651 0.078
Te3 Te 0.349 0.651 0.422
Te4 Te 0.651 0.349 0.578
Te5 Te 0.651 0.349 0.922
Te6 Te 0.900 0.100 0.750
# Space-group type ... Cmcm (63)

---

Name the least stable of them. model one.

---

Model one:
# Zr4O11 (PBE, relaxed)
data_Zr4O11
_chemical_formula_sum 'Zr4 O11'
_symmetry_space_group_name_H-M 'P 1'
_symmetry_Int_Tables_number 1
_symmetry_space_group_name_Hall 'P 1'
_cell_length_a 3.575
_cell_length_b 6.329
_cell_length_c 9.352
_cell_angle_alpha 101.30
_cell_angle_beta 100.75
_cell_angle_gamma 106.13
loop_
_atom_site_label
_atom_site_type_symbol
_atom_site_fract_x
_atom_site_fract_y
_atom_site_fract_z
Zr1 Zr 0.000 0.000 0.000
Zr2 Zr 0.144 0.469 0.819
Zr3 Zr 0.412 0.343 0.477
Zr4 Zr 0.560 0.835 0.285
O1 O 0.022 0.466 0.579
O2 O 0.153 0.320 0.986
O3 O 0.210 0.989 0.427
O4 O 0.364 0.821 0.900
O5 O 0.452 0.557 0.344
O6 O 0.545 0.352 0.735
O7 O 0.634 0.118 0.149
O8 O 0.717 0.850 0.610
O9 O 0.766 0.216 0.310
O10 O 0.874 0.998 0.733
O11 O 0.961 0.779 0.139
# Space-group type ... P1 (1)

---

Model two:
# Zr4O11 (PBE, relaxed)
data_Zr4O11
_chemical_formula_sum 'Zr4 O11'
_symmetry_space_group_name_H-M 'P 1'
_symmetry_Int_Tables_number 1
_symmetry_space_group_name_Hall 'P 1'
_cell_length_a 3.557
_cell_length_b 6.277
_cell_length_c 8.747
_cell_angle_alpha 76.33
_cell_angle_beta 89.88
_cell_angle_gamma 73.54
loop_
_atom_site_label
_atom_site_type_symbol
_atom_site_fract_x
_atom_site_fract_y
_atom_site_fract_z
Zr1 Zr 0.000 0.000 0.000
Zr2 Zr 0.011 0.976 0.523
Zr3 Zr 0.259 0.483 0.959
Zr4 Zr 0.695 0.611 0.326
O1 O 0.094 0.808 0.836
O2 O 0.172 0.654 0.454
O3 O 0.172 0.656 0.144
O4 O 0.425 0.151 0.900
O5 O 0.484 0.027 0.613
O6 O 0.505 0.990 0.178
O7 O 0.514 0.971 0.348
O8 O 0.743 0.509 0.733
O9 O 0.796 0.389 0.634
O10 O 0.823 0.353 0.045
O11 O 0.857 0.286 0.369
# Space-group type ... P1 (1)

---

Name the least stable of them. model two.

---

Model one:
# CuAg4 (PBE, relaxed)
data_CuAg4
_chemical_formula_sum 'Cu2 Ag8'
_symmetry_space_group_name_H-M 'P 1'
_symmetry_Int_Tables_number 1
_symmetry_space_group_name_Hall 'P 1'
_cell_length_a 10.111
_cell_length_b 10.111
_cell_length_c 5.839
_cell_angle_alpha 98.39
_cell_angle_beta 98.39
_cell_angle_gamma 16.63
loop_
_atom_site_label
_atom_site_type_symbol
_atom_site_fract_x
_atom_site_fract_y
_atom_site_fract_z
Cu1 Cu 0.098 0.098 0.299
Cu2 Cu 0.902 0.902 0.701
Ag1 Ag 0.099 0.099 0.801
Ag2 Ag 0.302 0.302 0.894
Ag3 Ag 0.304 0.304 0.410
Ag4 Ag 0.500 0.500 0.000
Ag5 Ag 0.500 0.500 0.500
Ag6 Ag 0.696 0.696 0.590
Ag7 Ag 0.698 0.698 0.106
Ag8 Ag 0.901 0.901 0.199
# Space-group type ... C2/m (12)

---

Model two:
# CuAg4 (PBE, relaxed)
data_CuAg4
_chemical_formula_sum 'Cu2 Ag8'
_symmetry_space_group_name_H-M 'P 1'
_symmetry_Int_Tables_number 1
_symmetry_space_group_name_Hall 'P 1'
_cell_length_a 5.014
_cell_length_b 5.014
_cell_length_c 12.293
_cell_angle_alpha 100.40
_cell_angle_beta 100.40
_cell_angle_gamma 33.73
loop_
_atom_site_label
_atom_site_type_symbol
_atom_site_fract_x
_atom_site_fract_y
_atom_site_fract_z
Cu1 Cu 0.048 0.048 0.353
Cu2 Cu 0.952 0.952 0.647
Ag1 Ag 0.149 0.149 0.051
Ag2 Ag 0.256 0.256 0.740
Ag3 Ag 0.355 0.355 0.456
Ag4 Ag 0.449 0.449 0.161
Ag5 Ag 0.551 0.551 0.839
Ag6 Ag 0.645 0.645 0.544
Ag7 Ag 0.744 0.744 0.260
Ag8 Ag 0.851 0.851 0.949
# Space-group type ... C2/m (12)

---

Name the least stable of them. model one.

---

Model one:
# ScOsPb2O6 (PBE, relaxed)
data_ScOsPb2O6
_chemical_formula_sum 'Sc1 Os1 Pb2 O6'
_symmetry_space_group_name_H-M 'P 1'
_symmetry_Int_Tables_number 1
_symmetry_space_group_name_Hall 'P 1'
_cell_length_a 5.938
_cell_length_b 5.938
_cell_length_c 5.938
_cell_angle_alpha 60.00
_cell_angle_beta 60.00
_cell_angle_gamma 60.00
loop_
_atom_site_label
_atom_site_type_symbol
_atom_site_fract_x
_atom_site_fract_y
_atom_site_fract_z
Sc1 Sc 0.000 0.000 0.000
Os1 Os 0.500 0.500 0.500
Pb1 Pb 0.250 0.250 0.250
Pb2 Pb 0.750 0.750 0.750
O1 O 0.000 0.000 0.500
O2 O 0.000 0.500 0.000
O3 O 0.000 0.500 0.500
O4 O 0.500 0.000 0.000
O5 O 0.500 0.000 0.500
O6 O 0.500 0.500 0.000
# Space-group type ... Fm-3m (225)

---

Model two:
# ScOsPb2O6 (PBE, relaxed)
data_ScOsPb2O6
_chemical_formula_sum 'Sc1 Os1 Pb2 O6'
_symmetry_space_group_name_H-M 'P 1'
_symmetry_Int_Tables_number 1
_symmetry_space_group_name_Hall 'P 1'
_cell_length_a 5.673
_cell_length_b 5.673
_cell_length_c 5.673
_cell_angle_alpha 60.00
_cell_angle_beta 60.00
_cell_angle_gamma 60.00
loop_
_atom_site_label
_atom_site_type_symbol
_atom_site_fract_x
_atom_site_fract_y
_atom_site_fract_z
Sc1 Sc 0.000 0.000 0.000
Os1 Os 0.500 0.500 0.500
Pb1 Pb 0.250 0.250 0.250
Pb2 Pb 0.750 0.750 0.750
O1 O 0.258 0.258 0.742
O2 O 0.258 0.742 0.258
O3 O 0.258 0.742 0.742
O4 O 0.742 0.258 0.258
O5 O 0.742 0.258 0.742
O6 O 0.742 0.742 0.258
# Space-group type ... Fm-3m (225)

---

Name the least stable of them. model one.

---

Model one:
# MgTaGaOs (PBE, relaxed)
data_MgTaGaOs
_chemical_formula_sum 'Mg1 Ta1 Ga1 Os1'
_symmetry_space_group_name_H-M 'P 1'
_symmetry_Int_Tables_number 1
_symmetry_space_group_name_Hall 'P 1'
_cell_length_a 4.464
_cell_length_b 4.464
_cell_length_c 4.464
_cell_angle_alpha 60.00
_cell_angle_beta 60.00
_cell_angle_gamma 60.00
loop_
_atom_site_label
_atom_site_type_symbol
_atom_site_fract_x
_atom_site_fract_y
_atom_site_fract_z
Mg1 Mg 0.000 0.000 0.000
Ta1 Ta 0.250 0.250 0.250
Ga1 Ga 0.500 0.500 0.500
Os1 Os 0.750 0.750 0.750
# Space-group type ... F-43m (216)

---

Model two:
# MgTaGaOs (PBE, relaxed)
data_MgTaGaOs
_chemical_formula_sum 'Mg1 Ta1 Ga1 Os1'
_symmetry_space_group_name_H-M 'P 1'
_symmetry_Int_Tables_number 1
_symmetry_space_group_name_Hall 'P 1'
_cell_length_a 4.460
_cell_length_b 4.460
_cell_length_c 4.460
_cell_angle_alpha 60.00
_cell_angle_beta 60.00
_cell_angle_gamma 60.00
loop_
_atom_site_label
_atom_site_type_symbol
_atom_site_fract_x
_atom_site_fract_y
_atom_site_fract_z
Mg1 Mg 0.000 0.000 0.000
Ta1 Ta 0.250 0.250 0.250
Ga1 Ga 0.750 0.750 0.750
Os1 Os 0.500 0.500 0.500
# Space-group type ... F-43m (216)

---

Name the least stable of them. model one.

---

Model one:
# TbGdNO (PBE, relaxed)
data_TbGdNO
_chemical_formula_sum 'Tb2 Gd2 N2 O2'
_symmetry_space_group_name_H-M 'P 1'
_symmetry_Int_Tables_number 1
_symmetry_space_group_name_Hall 'P 1'
_cell_length_a 4.000
_cell_length_b 6.929
_cell_length_c 4.918
_cell_angle_alpha 90.00
_cell_angle_beta 90.00
_cell_angle_gamma 90.00
loop_
_atom_site_label
_atom_site_type_symbol
_atom_site_fract_x
_atom_site_fract_y
_atom_site_fract_z
Tb1 Tb 0.000 0.167 0.000
Tb2 Tb 0.000 0.833 0.500
Gd1 Gd 0.500 0.335 0.500
Gd2 Gd 0.500 0.665 0.000
N1 N 0.000 0.163 0.501
N2 N 0.000 0.837 0.001
O1 O 0.500 0.324 0.999
O2 O 0.500 0.676 0.499
# Space-group type ... Pmc2_1 (26)

---

Model two:
# TbGdNO (PBE, relaxed)
data_TbGdNO
_chemical_formula_sum 'Tb4 Gd4 N4 O4'
_symmetry_space_group_name_H-M 'P 1'
_symmetry_Int_Tables_number 1
_symmetry_space_group_name_Hall 'P 1'
_cell_length_a 6.661
_cell_length_b 8.123
_cell_length_c 4.982
_cell_angle_alpha 90.00
_cell_angle_beta 90.00
_cell_angle_gamma 90.00
loop_
_atom_site_label
_atom_site_type_symbol
_atom_site_fract_x
_atom_site_fract_y
_atom_site_fract_z
Tb1 Tb 0.071 0.122 0.000
Tb2 Tb 0.429 0.122 0.500
Tb3 Tb 0.571 0.878 0.000
Tb4 Tb 0.929 0.878 0.500
Gd1 Gd 0.082 0.627 0.998
Gd2 Gd 0.418 0.627 0.498
Gd3 Gd 0.582 0.373 0.998
Gd4 Gd 0.918 0.373 0.498
N1 N 0.069 0.627 0.498
N2 N 0.431 0.627 0.998
N3 N 0.569 0.373 0.498
N4 N 0.931 0.373 0.998
O1 O 0.094 0.129 0.501
O2 O 0.406 0.129 0.001
O3 O 0.594 0.871 0.501
O4 O 0.906 0.871 0.001
# Space-group type ... Pca2_1 (29)

---

Name the least stable of them. model two.

---

Model one:
# Cu5Ag4 (PBE, relaxed)
data_Cu5Ag4
_chemical_formula_sum 'Cu5 Ag4'
_symmetry_space_group_name_H-M 'P 1'
_symmetry_Int_Tables_number 1
_symmetry_space_group_name_Hall 'P 1'
_cell_length_a 16.658
_cell_length_b 16.658
_cell_length_c 16.658
_cell_angle_alpha 170.32
_cell_angle_beta 170.32
_cell_angle_gamma 13.70
loop_
_atom_site_label
_atom_site_type_symbol
_atom_site_fract_x
_atom_site_fract_y
_atom_site_fract_z
Cu1 Cu 0.000 0.000 0.000
Cu2 Cu 0.094 0.094 0.000
Cu3 Cu 0.338 0.338 0.000
Cu4 Cu 0.453 0.453 0.000
Cu5 Cu 0.547 0.547 0.000
Ag1 Ag 0.217 0.217 0.000
Ag2 Ag 0.651 0.651 0.000
Ag3 Ag 0.782 0.782 0.000
Ag4 Ag 0.895 0.895 0.000
# Space-group type ... I4mm (107)

---

Model two:
# Cu5Ag4 (PBE, relaxed)
data_Cu5Ag4
_chemical_formula_sum 'Cu5 Ag4'
_symmetry_space_group_name_H-M 'P 1'
_symmetry_Int_Tables_number 1
_symmetry_space_group_name_Hall 'P 1'
_cell_length_a 4.765
_cell_length_b 4.765
_cell_length_c 8.272
_cell_angle_alpha 107.51
_cell_angle_beta 107.51
_cell_angle_gamma 47.75
loop_
_atom_site_label
_atom_site_type_symbol
_atom_site_fract_x
_atom_site_fract_y
_atom_site_fract_z
Cu1 Cu 0.000 0.000 0.000
Cu2 Cu 0.002 0.002 0.314
Cu3 Cu 0.339 0.339 0.096
Cu4 Cu 0.356 0.356 0.801
Cu5 Cu 0.689 0.689 0.896
Ag1 Ag 0.020 0.020 0.688
Ag2 Ag 0.345 0.345 0.434
Ag3 Ag 0.667 0.667 0.204
Ag4 Ag 0.682 0.682 0.562
# Space-group type ... Cm (8)

---

Name the least stable of them. model two.